1.
The following is a DFT calculation (PBE-GGA) of a relaxed structure of Ti6Sn2B.

abc: 5.5054 5.5054 12.5512
angles: 90.00 90.00 90.00
Last column: nearest neighbours and their distance in Å.
Fractional coordinates of all 18 atoms:
Ti 0.1868 0.1868 0.1168  1 B 2.06
Ti 0.1868 0.1868 0.8832  1 B 2.06
Ti 0.2088 0.2088 0.5000  1 B 2.27
Ti 0.2912 0.7088 0.0000  1 B 2.27
Ti 0.3132 0.6868 0.3832  1 B 2.06
Ti 0.3132 0.6868 0.6168  1 B 2.06
Ti 0.6868 0.3132 0.3832  1 B 2.06
Ti 0.6868 0.3132 0.6168  1 B 2.06
Ti 0.7088 0.2912 0.0000  1 B 2.27
Ti 0.7912 0.7912 0.5000  1 B 2.27
Ti 0.8132 0.8132 0.1168  1 B 2.06
Ti 0.8132 0.8132 0.8832  1 B 2.06
Sn 0.0000 0.0000 0.3080  6 Ti 2.62-2.91
Sn 0.0000 0.0000 0.6920  6 Ti 2.62-2.91
Sn 0.5000 0.5000 0.1920  6 Ti 2.62-2.91
Sn 0.5000 0.5000 0.8080  6 Ti 2.62-2.91
B 0.0000 0.0000 0.0000  6 Ti 2.06-2.27
B 0.5000 0.5000 0.5000  6 Ti 2.06-2.27

Computed properties:
The formation energy from the elements is 239 meV/atom. For the size of the total moment, the calculation gives 0.000 μB per atom. As for the space group: No. 136.

2.
The following is a DFT calculation (PBE-GGA) of a relaxed structure of TiSn2B.

abc: 7.0073 7.0073 6.0846
angles: 90.00 90.00 90.00
Last column: nearest neighbours and their distance in Å.
Fractional coordinates of all 16 atoms:
Ti 0.0000 0.0000 0.0000  8 Sn 2.91-3.16, 2 B 3.04
Ti 0.0000 0.5000 0.2500  8 Sn 2.91-3.16, 2 B 3.04
Ti 0.5000 0.0000 0.7500  8 Sn 2.91-3.16, 2 B 3.04
Ti 0.5000 0.5000 0.5000  8 Sn 2.91-3.16, 2 B 3.04
Sn 0.1857 0.2500 0.6250  2 B 2.31
Sn 0.2500 0.6857 0.8750  2 B 2.31
Sn 0.2500 0.8143 0.3750  2 B 2.31
Sn 0.3143 0.2500 0.1250  2 B 2.31
Sn 0.6857 0.7500 0.1250  2 B 2.31
Sn 0.7500 0.1857 0.3750  2 B 2.31
Sn 0.7500 0.3143 0.8750  2 B 2.31
Sn 0.8143 0.7500 0.6250  2 B 2.31
B 0.0000 0.0000 0.5000  4 Sn 2.31
B 0.0000 0.5000 0.7500  4 Sn 2.31
B 0.5000 0.0000 0.2500  4 Sn 2.31
B 0.5000 0.5000 0.0000  4 Sn 2.31

Computed properties:
The formation energy from the elements is 463 meV/atom. For the size of the total moment, the calculation gives 0.000 μB per atom. As for the space group: No. 122.

3.
The following is a DFT calculation (PBE-GGA) of a relaxed structure of Ti3SnB.

abc: 5.5723 5.5723 9.4904
angles: 100.59 100.59 33.72
Last column: nearest neighbours and their distance in Å.
Fractional coordinates of all 10 atoms:
Ti 0.0339 0.0339 0.3712  4 B 2.28-2.30
Ti 0.2382 0.2382 0.6231  2 B 2.32
Ti 0.4044 0.4044 0.1499  2 Ti 2.80, 5 Sn 2.85-2.99, 1 B 2.90
Ti 0.5956 0.5956 0.8501  2 Ti 2.80, 5 Sn 2.85-2.99, 1 B 2.90
Ti 0.7618 0.7618 0.3769  2 B 2.32
Ti 0.9661 0.9661 0.6288  4 B 2.28-2.30
Sn 0.1331 0.1331 0.1184  8 Ti 2.80-3.04
Sn 0.8669 0.8669 0.8816  8 Ti 2.80-3.04
B 0.4152 0.4152 0.4572  1 B 1.84
B 0.5848 0.5848 0.5428  1 B 1.84

Computed properties:
The formation energy from the elements is -396 meV/atom. For the size of the total moment, the calculation gives 0.000 μB per atom. As for the space group: No. 12.

4.
The following is a DFT calculation (PBE-GGA) of a relaxed structure of Ti3SnB.

abc: 6.0611 6.0611 4.9483
angles: 90.00 90.00 120.00
Last column: nearest neighbours and their distance in Å.
Fractional coordinates of all 10 atoms:
Ti 0.1706 0.3413 0.2500  2 B 2.18
Ti 0.1706 0.8294 0.2500  2 B 2.18
Ti 0.3413 0.1706 0.7500  2 B 2.18
Ti 0.6587 0.8294 0.2500  2 B 2.18
Ti 0.8294 0.1706 0.7500  2 B 2.18
Ti 0.8294 0.6587 0.7500  2 B 2.18
Sn 0.3333 0.6667 0.7500  12 Ti 3.01-3.03
Sn 0.6667 0.3333 0.2500  12 Ti 3.01-3.03
B 0.0000 0.0000 0.0000  6 Ti 2.18
B 0.0000 0.0000 0.5000  6 Ti 2.18

Computed properties:
The formation energy from the elements is -507 meV/atom. For the size of the total moment, the calculation gives 0.000 μB per atom. As for the space group: No. 194.

5.
The following is a DFT calculation (PBE-GGA) of a relaxed structure of Ti2SnB.

abc: 6.3180 6.3180 6.3180
angles: 90.00 90.00 90.00
Last column: nearest neighbours and their distance in Å.
Fractional coordinates of all 16 atoms:
Ti 0.2500 0.2500 0.2500  4 Sn 2.74, 4 B 2.74
Ti 0.2500 0.2500 0.7500  4 Sn 2.74, 4 B 2.74
Ti 0.2500 0.7500 0.2500  4 Sn 2.74, 4 B 2.74
Ti 0.2500 0.7500 0.7500  4 Sn 2.74, 4 B 2.74
Ti 0.7500 0.2500 0.2500  4 Sn 2.74, 4 B 2.74
Ti 0.7500 0.2500 0.7500  4 Sn 2.74, 4 B 2.74
Ti 0.7500 0.7500 0.2500  4 Sn 2.74, 4 B 2.74
Ti 0.7500 0.7500 0.7500  4 Sn 2.74, 4 B 2.74
Sn 0.0000 0.0000 0.0000  8 Ti 2.74
Sn 0.0000 0.5000 0.5000  8 Ti 2.74
Sn 0.5000 0.0000 0.5000  8 Ti 2.74
Sn 0.5000 0.5000 0.0000  8 Ti 2.74
B 0.0000 0.0000 0.5000  8 Ti 2.74
B 0.0000 0.5000 0.0000  8 Ti 2.74
B 0.5000 0.0000 0.0000  8 Ti 2.74
B 0.5000 0.5000 0.5000  8 Ti 2.74

Computed properties:
The formation energy from the elements is 398 meV/atom. For the size of the total moment, the calculation gives 0.207 μB per atom. As for the space group: No. 225. The value obtained for the energy above the most stable polymorph in this dataset is 0.878 eV per atom.

6.
The following is a DFT calculation (PBE-GGA) of a relaxed structure of Ti4SnB.

abc: 7.0795 7.0795 6.1056
angles: 105.16 105.16 42.66
Last column: nearest neighbours and their distance in Å.
Fractional coordinates of all 12 atoms:
Ti 0.0080 0.1802 0.4420  1 B 2.16
Ti 0.1802 0.0080 0.9420  1 B 2.16
Ti 0.2196 0.3967 0.8450  2 B 2.19-2.22
Ti 0.3967 0.2196 0.3450  2 B 2.19-2.22
Ti 0.6033 0.7804 0.6550  2 B 2.19-2.22
Ti 0.7804 0.6033 0.1550  2 B 2.19-2.22
Ti 0.8198 0.9920 0.0580  1 B 2.16
Ti 0.9920 0.8198 0.5580  1 B 2.16
Sn 0.4038 0.5962 0.2500  10 Ti 2.91-3.01, 2 Sn 3.21
Sn 0.5962 0.4038 0.7500  10 Ti 2.91-3.01, 2 Sn 3.21
B 0.0000 0.5000 0.5000  6 Ti 2.16-2.22
B 0.5000 0.0000 0.0000  6 Ti 2.16-2.22

Computed properties:
The formation energy from the elements is -270 meV/atom. For the size of the total moment, the calculation gives 0.000 μB per atom. As for the space group: No. 15.

7.
The following is a DFT calculation (PBE-GGA) of a relaxed structure of Ti4Sn2B.

abc: 4.2370 4.2370 14.2776
angles: 90.00 90.00 90.00
Last column: nearest neighbours and their distance in Å.
Fractional coordinates of all 14 atoms:
Ti 0.0000 0.0000 0.1523  1 B 2.17
Ti 0.0000 0.0000 0.8477  1 B 2.17
Ti 0.0000 0.5000 0.0000  2 B 2.12
Ti 0.0000 0.5000 0.5000  2 B 2.12
Ti 0.5000 0.0000 0.0000  2 B 2.12
Ti 0.5000 0.0000 0.5000  2 B 2.12
Ti 0.5000 0.5000 0.3477  1 B 2.17
Ti 0.5000 0.5000 0.6523  1 B 2.17
Sn 0.0000 0.0000 0.3545  9 Ti 2.89-3.00
Sn 0.0000 0.0000 0.6455  9 Ti 2.89-3.00
Sn 0.5000 0.5000 0.1455  9 Ti 2.89-3.00
Sn 0.5000 0.5000 0.8545  9 Ti 2.89-3.00
B 0.0000 0.0000 0.0000  6 Ti 2.12-2.17
B 0.5000 0.5000 0.5000  6 Ti 2.12-2.17

Computed properties:
The formation energy from the elements is -401 meV/atom. For the size of the total moment, the calculation gives 0.003 μB per atom. As for the space group: No. 139. The value obtained for the energy above the most stable polymorph in this dataset is 0.000 eV per atom.

8.
The following is a DFT calculation (PBE-GGA) of a relaxed structure of Ti4Sn2B.

abc: 7.4677 10.4017 3.2422
angles: 90.00 90.00 90.00
Last column: nearest neighbours and their distance in Å.
Fractional coordinates of all 14 atoms:
Ti 0.1315 0.1828 0.0000  1 B 2.14
Ti 0.1707 0.9291 0.5000  2 B 2.19
Ti 0.3293 0.4291 0.5000  2 B 2.19
Ti 0.3685 0.6828 0.0000  1 B 2.14
Ti 0.6315 0.3172 0.0000  1 B 2.14
Ti 0.6707 0.5709 0.5000  2 B 2.19
Ti 0.8293 0.0709 0.5000  2 B 2.19
Ti 0.8685 0.8172 0.0000  1 B 2.14
Sn 0.0592 0.6403 0.5000  7 Ti 2.84-3.12, 1 Sn 3.05
Sn 0.4408 0.1403 0.5000  7 Ti 2.84-3.12, 1 Sn 3.05
Sn 0.5592 0.8597 0.5000  7 Ti 2.84-3.12, 1 Sn 3.05
Sn 0.9408 0.3597 0.5000  7 Ti 2.84-3.12, 1 Sn 3.05
B 0.0000 0.0000 0.0000  6 Ti 2.14-2.19
B 0.5000 0.5000 0.0000  6 Ti 2.14-2.19

Computed properties:
The formation energy from the elements is -367 meV/atom. For the size of the total moment, the calculation gives 0.000 μB per atom. As for the space group: No. 55. The value obtained for the energy above the most stable polymorph in this dataset is 0.034 eV per atom.